Record 1
Below is an optimized crystal structure of K3SI, with properties calculated at the PBE level.

Cell and atoms, written as POSCAR:
```
K3SI
1.0
7.1042 0.0000 0.0000
0.0000 11.0146 -0.4580
0.0000 -3.9366 10.2929
K S I
12 4 4
Cartesian
0.0209 1.8072 2.4332
7.0833 5.2707 7.4017
3.5730 1.7317 2.4843
3.5312 5.3462 7.3506
1.7774 5.4112 3.5690
5.3268 1.6667 6.2659
5.3295 9.1423 0.8904
1.7747 -2.0644 8.9444
5.4117 8.2056 5.2902
1.6925 -1.1277 4.5446
1.8596 2.4112 9.4621
5.2445 4.6667 0.3728
1.8626 3.8762 0.9414
5.2415 3.2017 8.8934
5.4147 -0.3372 3.9760
1.6895 7.4152 5.8588
5.3286 4.7205 4.0662
1.7756 2.3574 5.7687
1.7765 9.8330 0.3932
5.3276 -2.7551 9.4416
```

Formation energy without anion corrections (eV per atom): -1.173
Magnetic moment (Bohr magnetons per cell): 0.0
Polymorph energy (0 for the lowest one) (eV/atom): 0.032
Fermi-level density of states (states/eV per atom): 0.000

Record 2
Below is an optimized crystal structure of LiIn2Se2, with properties calculated at the PBE level.

Cell and atoms, written as POSCAR:
```
LiIn2Se2
1.0
4.1930 0.0000 0.0000
0.0000 4.1930 0.0000
2.0965 2.0965 7.4680
Li Se In
1 2 2
Cartesian
0.0000 0.0000 0.0000
2.0965 2.0965 1.2633
4.1930 4.1930 6.2047
4.1930 2.0965 3.7340
2.0965 4.1930 3.7340
```

Formation energy without anion corrections (eV per atom): -0.274
Magnetic moment (Bohr magnetons per cell): 0.0
Polymorph energy (0 for the lowest one) (eV/atom): 0.176
Fermi-level density of states (states/eV per atom): 0.297